(1)
Computed, not measured: a relaxed PrHoAg2Te4 crystal at the GGA-PBE level of DFT.

**Magnetic moment**: 0.00 μB per formula unit
**Symmetry**: I222 (23)
**Formation energy (no corrections)**: -727 meV per atom
**Volume**: 32.7 A^3/atom

Cell and atoms, written as POSCAR:
```
PrHoAg2Te4
1.0
7.487 0.000 0.000
3.744 5.970 0.392
3.744 0.879 5.918
Te Ag Pr Ho
4 2 1 1
direct
0.436 0.085 0.586
0.892 0.586 0.085
0.564 0.414 0.915
0.108 0.915 0.414
0.848 0.652 0.652
0.152 0.348 0.348
0.000 0.000 0.000
0.500 0.500 0.500
```



(2)
Computed, not measured: a relaxed Pr3Ho3AgTe8 crystal at the GGA-PBE level of DFT.

**Magnetic moment**: 0.00 μB per formula unit
**Symmetry**: R-3m (166)
**Formation energy (no corrections)**: -1233 meV per atom
**Volume**: 32.5 A^3/atom

Cell and atoms, written as POSCAR:
```
Pr3Ho3AgTe8
1.0
8.818 0.000 0.000
-4.409 7.636 -0.027
0.000 -5.066 7.258
Te Pr Ho Ag
8 3 3 1
direct
0.262 0.010 0.258
0.745 0.491 0.736
0.251 0.503 0.742
0.748 0.010 0.258
0.749 0.497 0.258
0.255 0.509 0.264
0.252 0.990 0.742
0.738 0.990 0.742
0.500 0.500 0.000
0.000 0.500 0.000
0.000 0.000 0.000
0.500 0.000 0.500
0.500 0.500 0.500
0.000 0.500 0.500
0.000 0.000 0.500
```



(3)
Computed, not measured: a relaxed PrHoTlAg crystal at the GGA-PBE level of DFT.

**Magnetic moment**: 0.08 μB per formula unit
**Symmetry**: P4mm (99)
**E_form**: -0.33 eV per atom
**Distance to the lowest polymorph of the same formula**: 0.00 eV/f.u.
**Volume**: 27.0 A^3/atom

Cell and atoms, written as POSCAR:
```
PrHoTlAg
1.0
-2.954 -1.903 1.154
2.206 -2.255 1.930
-0.618 4.767 6.279
Ag Pr Tl Ho
1 1 1 1
direct
0.500 0.500 0.581
0.000 0.000 0.847
0.500 0.500 0.123
0.000 0.000 0.377
```



(4)
Computed, not measured: a relaxed PrHo2Tl2Ag2 crystal at the GGA-PBE level of DFT.

**Magnetic moment**: 0.00 μB per formula unit
**Symmetry**: R-3m (166)
**E_form**: -0.19 eV per atom
**Volume**: 26.3 A^3/atom

Cell and atoms, written as POSCAR:
```
PrHo2Tl2Ag2
1.0
4.931 0.000 0.000
2.466 4.271 0.000
2.466 1.424 8.747
Pr Ho Ag Tl
1 2 2 2
direct
0.000 0.000 0.000
0.867 0.867 0.400
0.133 0.133 0.600
0.439 0.439 0.684
0.561 0.561 0.316
0.262 0.262 0.213
0.738 0.738 0.787
```



(5)
Computed, not measured: a relaxed PrHoTlAg crystal at the GGA-PBE level of DFT.

**Magnetic moment**: 0.31 μB per formula unit
**Symmetry**: F-43m (216)
**E_form**: -0.32 eV per atom
**Distance to the lowest polymorph of the same formula**: 0.06 eV/f.u.
**Volume**: 27.3 A^3/atom

Cell and atoms, written as POSCAR:
```
PrHoTlAg
1.0
-5.316 0.336 -0.615
-3.242 -0.838 4.188
-2.696 4.098 2.166
Ag Pr Ho Tl
1 1 1 1
direct
0.250 0.250 0.250
0.500 0.500 0.500
0.000 0.000 0.000
0.750 0.750 0.750
```



(6)
Computed, not measured: a relaxed PrHoTm2Ag4 crystal at the GGA-PBE level of DFT.

**Magnetic moment**: 0.00 μB per formula unit
**Symmetry**: R-3m (166)
**E_form**: -0.30 eV per atom
**Volume**: 24.3 A^3/atom

Cell and atoms, written as POSCAR:
```
PrHoTm2Ag4
1.0
5.144 0.000 0.000
2.572 4.455 0.000
2.572 1.485 8.493
Ho Ag Tm Pr
1 4 2 1
direct
0.500 0.500 0.500
0.380 0.380 0.860
0.873 0.873 0.382
0.127 0.127 0.618
0.620 0.620 0.140
0.752 0.752 0.745
0.248 0.248 0.255
0.000 0.000 0.000
```



(7)
Computed, not measured: a relaxed PrHoTmAg crystal at the GGA-PBE level of DFT.

**Magnetic moment**: 0.00 μB per formula unit
**Symmetry**: F-43m (216)
**E_form**: 0.06 eV per atom
**Distance to the lowest polymorph of the same formula**: 0.77 eV/f.u.
**Volume**: 28.2 A^3/atom

Cell and atoms, written as POSCAR:
```
PrHoTmAg
1.0
-1.109 1.024 5.208
3.184 -2.018 3.898
3.213 3.303 2.857
Tm Pr Ho Ag
1 1 1 1
direct
0.750 0.750 0.750
0.500 0.500 0.500
0.000 0.000 0.000
0.250 0.250 0.250
```



(8)
Computed, not measured: a relaxed PrHoTmAg crystal at the GGA-PBE level of DFT.

**Magnetic moment**: 0.00 μB per formula unit
**Symmetry**: P4mm (99)
**E_form**: -0.14 eV per atom
**Distance to the lowest polymorph of the same formula**: 0.00 eV/f.u.
**Volume**: 28.4 A^3/atom

Cell and atoms, written as POSCAR:
```
PrHoTmAg
1.0
-3.607 -0.121 -0.444
0.164 -3.616 -0.348
-1.016 -0.862 8.482
Pr Ag Ho Tm
1 1 1 1
direct
0.000 0.000 0.073
0.000 0.000 0.567
0.500 0.500 0.777
0.500 0.500 0.367
```



(9)
Computed, not measured: a relaxed PrHo2TmAg4 crystal at the GGA-PBE level of DFT.

**Magnetic moment**: 0.00 μB per formula unit
**Symmetry**: R-3m (166)
**E_form**: -0.30 eV per atom
**Volume**: 24.5 A^3/atom

Cell and atoms, written as POSCAR:
```
PrHo2TmAg4
1.0
-0.027 3.166 -4.068
2.808 -1.138 -4.171
-5.667 -3.589 -6.022
Tm Ag Ho Pr
1 4 2 1
direct
0.500 0.500 0.500
0.128 0.128 0.617
0.381 0.381 0.858
0.619 0.619 0.142
0.872 0.872 0.383
0.248 0.248 0.256
0.752 0.752 0.744
0.000 0.000 0.000
```



(10)
Computed, not measured: a relaxed PrHoZnAg crystal at the GGA-PBE level of DFT.

**Magnetic moment**: 0.00 μB per formula unit
**Symmetry**: P4mm (99)
**E_form**: -0.31 eV per atom
**Distance to the lowest polymorph of the same formula**: 0.00 eV/f.u.
**Volume**: 24.6 A^3/atom

Cell and atoms, written as POSCAR:
```
PrHoZnAg
1.0
3.653 0.000 0.000
0.000 3.653 0.000
0.000 0.000 7.380
Pr Ag Ho Zn
1 1 1 1
direct
0.000 0.000 0.846
0.500 0.500 0.132
0.000 0.000 0.362
0.500 0.500 0.587
```



(11)
Computed, not measured: a relaxed PrHoZnAg crystal at the GGA-PBE level of DFT.

**Magnetic moment**: 0.00 μB per formula unit
**Symmetry**: F-43m (216)
**E_form**: -0.29 eV per atom
**Distance to the lowest polymorph of the same formula**: 0.09 eV/f.u.
**Volume**: 24.8 A^3/atom

Cell and atoms, written as POSCAR:
```
PrHoZnAg
1.0
-2.351 -4.575 -0.746
2.059 -4.336 1.994
-2.339 -2.399 3.974
Ag Zn Ho Pr
1 1 1 1
direct
0.250 0.250 0.250
0.750 0.750 0.750
0.000 0.000 0.000
0.500 0.500 0.500
```



(12)
Computed, not measured: a relaxed Ho2AgPt9 crystal at the GGA-PBE level of DFT.

**Magnetic moment**: 0.00 μB per formula unit
**Symmetry**: R-3m (166)
**E_form**: -0.61 eV per atom
**Distance to the lowest polymorph of the same formula**: 0.73 eV/f.u.
**Volume**: 18.4 A^3/atom

Cell and atoms, written as POSCAR:
```
Ho2AgPt9
1.0
5.386 0.000 0.000
2.693 4.664 0.000
2.693 1.555 8.789
Pt Ho Ag
9 2 1
direct
0.333 0.333 0.002
0.588 0.588 0.744
0.919 0.412 0.256
0.412 0.919 0.256
0.588 0.081 0.744
0.500 0.500 0.500
0.667 0.667 0.998
0.081 0.588 0.744
0.412 0.412 0.256
0.865 0.865 0.406
0.135 0.135 0.594
0.000 0.000 0.000
```



(13)
Computed, not measured: a relaxed HoAg3Pt8 crystal at the GGA-PBE level of DFT.

**Magnetic moment**: 0.00 μB per formula unit
**Symmetry**: R3m (160)
**E_form**: -0.34 eV per atom
**Volume**: 17.8 A^3/atom

Cell and atoms, written as POSCAR:
```
HoAg3Pt8
1.0
-2.794 4.418 -1.051
-3.954 -0.133 -3.573
-7.877 -0.630 4.764
Pt Ag Ho
8 3 1
direct
0.938 0.439 0.686
0.937 0.438 0.187
0.438 0.438 0.187
0.438 0.938 0.686
0.938 0.938 0.686
0.438 0.937 0.187
0.188 0.187 0.437
0.688 0.687 0.936
0.374 0.374 0.879
0.495 0.495 0.514
0.003 0.003 0.990
0.875 0.875 0.374
```



(14)
Computed, not measured: a relaxed HoAgPt crystal at the GGA-PBE level of DFT.

**Magnetic moment**: 0.00 μB per formula unit
**Symmetry**: F-43m (216)
**E_form**: -0.67 eV per atom
**Distance to the lowest polymorph of the same formula**: 0.35 eV/f.u.
**Volume**: 23.5 A^3/atom

Cell and atoms, written as POSCAR:
```
HoAgPt
1.0
-2.876 -2.138 2.947
-1.508 -4.288 -0.931
1.511 -3.589 2.522
Pt Ag Ho
1 1 1
direct
0.250 0.250 0.250
0.000 0.000 0.000
0.500 0.500 0.500
```



(15)
Computed, not measured: a relaxed HoAgPt crystal at the GGA-PBE level of DFT.

**Magnetic moment**: 0.00 μB per formula unit
**Symmetry**: P2_1/c (14)
**E_form**: -0.70 eV per atom
**Distance to the lowest polymorph of the same formula**: 0.27 eV/f.u.
**Volume**: 20.2 A^3/atom

Cell and atoms, written as POSCAR:
```
HoAgPt
1.0
5.275 0.000 0.000
0.000 6.447 1.082
0.000 -1.975 6.813
Ho Ag Pt
4 4 4
direct
0.372 0.996 0.222
0.128 0.496 0.222
0.628 0.004 0.778
0.872 0.504 0.778
0.859 0.165 0.418
0.359 0.335 0.582
0.641 0.665 0.418
0.141 0.835 0.582
0.627 0.338 0.086
0.873 0.838 0.086
0.127 0.162 0.914
0.373 0.662 0.914
```



(16)
Computed, not measured: a relaxed Ho4AgPt3 crystal at the GGA-PBE level of DFT.

**Magnetic moment**: 0.00 μB per formula unit
**Symmetry**: R-3m (166)
**E_form**: -1.03 eV per atom
**Volume**: 21.6 A^3/atom

Cell and atoms, written as POSCAR:
```
Ho4AgPt3
1.0
4.762 0.000 1.406
2.174 4.237 1.406
0.055 0.034 8.583
Ho Ag Pt
4 1 3
direct
0.128 0.128 0.615
0.622 0.622 0.135
0.378 0.378 0.865
0.872 0.872 0.385
0.000 0.000 0.000
0.256 0.256 0.233
0.500 0.500 0.500
0.744 0.744 0.767
```



(17)
Computed, not measured: a relaxed HoAgPt crystal at the GGA-PBE level of DFT.

**Magnetic moment**: 0.00 μB per formula unit
**Symmetry**: I4mm (107)
**E_form**: -0.74 eV per atom
**Distance to the lowest polymorph of the same formula**: 0.14 eV/f.u.
**Volume**: 20.3 A^3/atom

Cell and atoms, written as POSCAR:
```
HoAgPt
1.0
-0.963 0.734 3.458
-3.530 -0.020 -0.979
2.027 -4.797 -0.358
Ho Ag Pt
1 1 1
direct
0.940 0.940 0.880
0.619 0.619 0.238
0.291 0.291 0.582
```



(18)
Computed, not measured: a relaxed HoAgPt crystal at the GGA-PBE level of DFT.

**Magnetic moment**: 0.00 μB per formula unit
**Symmetry**: P3m1 (156)
**E_form**: -0.63 eV per atom
**Distance to the lowest polymorph of the same formula**: 0.50 eV/f.u.
**Volume**: 20.9 A^3/atom

Cell and atoms, written as POSCAR:
```
HoAgPt
1.0
3.368 0.000 0.000
0.000 4.631 0.000
0.000 -2.316 4.011
Ho Pt Ag
1 1 1
direct
0.667 0.667 0.333
0.168 0.333 0.667
0.166 0.000 0.000
```



(19)
Computed, not measured: a relaxed Ho5Ag2Pt2 crystal at the GGA-PBE level of DFT.

**Magnetic moment**: 0.00 μB per formula unit
**Symmetry**: Cmce (64)
**E_form**: -0.72 eV per atom
**Volume**: 24.6 A^3/atom

Cell and atoms, written as POSCAR:
```
Ho5Ag2Pt2
1.0
-2.321 -2.936 -6.821
-3.873 -5.246 3.576
-4.181 7.212 -1.682
Pt Ho Ag
4 10 4
direct
0.134 0.632 0.000
0.634 0.868 0.000
0.866 0.368 0.000
0.366 0.132 0.000
0.000 0.000 0.000
0.827 0.542 0.744
0.673 0.042 0.744
0.500 0.500 0.000
0.327 0.702 0.744
0.173 0.202 0.744
0.327 0.958 0.256
0.827 0.798 0.256
0.673 0.298 0.256
0.173 0.458 0.256
0.000 0.210 0.420
0.000 0.790 0.580
0.500 0.290 0.580
0.500 0.710 0.420
```



(20)
Computed, not measured: a relaxed HoAgPt crystal at the GGA-PBE level of DFT.

**Magnetic moment**: 0.00 μB per formula unit
**Symmetry**: Cmcm (63)
**E_form**: -0.79 eV per atom
**Distance to the lowest polymorph of the same formula**: 0.00 eV/f.u.
**Volume**: 20.1 A^3/atom

Cell and atoms, written as POSCAR:
```
HoAgPt
1.0
3.521 0.000 -0.747
0.000 4.573 0.000
-0.241 0.000 7.537
Ag Pt Ho
2 2 2
direct
0.234 0.750 0.469
0.766 0.250 0.531
0.571 0.750 0.141
0.429 0.250 0.859
0.910 0.750 0.820
0.090 0.250 0.180
```